Entry 1:
The following is a PBE-GGA calculation of a relaxed structure of Cs3RbTl2Br9, from Alexandria. Values from VASP.

```
&SYSTEM
  ibrav = 0, nat = 15, ntyp = 4
/
ATOMIC_SPECIES
Cs 132.91 Cs.upf
Rb 85.47 Rb.upf
Tl 204.38 Tl.upf
Br 79.90 Br.upf
ATOMIC_POSITIONS crystal
Cs 0.000 0.000 0.000
Cs 0.333 0.667 0.746
Cs 0.667 0.333 0.254
Rb 0.000 0.000 0.500
Tl 0.333 0.667 0.158
Tl 0.667 0.333 0.842
Br 0.000 0.500 0.000
Br 0.163 0.326 0.282
Br 0.163 0.837 0.282
Br 0.326 0.163 0.718
Br 0.500 0.000 0.000
Br 0.500 0.500 0.000
Br 0.674 0.837 0.282
Br 0.837 0.163 0.718
Br 0.837 0.674 0.718
CELL_PARAMETERS angstrom
8.104 0.000 0.000
-4.052 7.018 0.000
0.000 0.000 11.623
```

Properties
* DOS at the Fermi energy: 2.6 states/eV per cell
* density: 4050 kg/m³
* DFT total energy: -2.761 eV/atom
* ΔE_f (raw): -18.10 eV/f.u.


Entry 2:
The following is a PBE-GGA calculation of a relaxed structure of Cs2Rb3TlBr6, from Alexandria. Values from VASP.

```
&SYSTEM
  ibrav = 0, nat = 12, ntyp = 4
/
ATOMIC_SPECIES
Cs 132.91 Cs.upf
Rb 85.47 Rb.upf
Tl 204.38 Tl.upf
Br 79.90 Br.upf
ATOMIC_POSITIONS crystal
Cs 0.165 0.165 0.329
Cs 0.835 0.835 0.671
Rb 0.166 0.166 0.835
Rb 0.500 0.500 0.500
Rb 0.834 0.834 0.165
Tl 0.500 0.500 0.000
Br 0.004 0.004 0.759
Br 0.336 0.336 0.929
Br 0.337 0.337 0.409
Br 0.663 0.663 0.591
Br 0.664 0.664 0.071
Br 0.996 0.996 0.241
CELL_PARAMETERS angstrom
10.932 -2.508 0.000
10.932 2.508 0.000
-2.326 0.000 9.780
```

Properties
* DOS at the Fermi energy: 0.0 states/eV per cell
* density: 3734 kg/m³
* DFT total energy: -3.026 eV/atom
* ΔE_f (raw): -19.30 eV/f.u.


Entry 3:
The following is a PBE-GGA calculation of a relaxed structure of CsRbTl2Br4, from Alexandria. Values from VASP.

```
&SYSTEM
  ibrav = 0, nat = 8, ntyp = 4
/
ATOMIC_SPECIES
Cs 132.91 Cs.upf
Rb 85.47 Rb.upf
Tl 204.38 Tl.upf
Br 79.90 Br.upf
ATOMIC_POSITIONS crystal
Cs 0.000 0.000 0.000
Rb 0.000 0.500 0.500
Tl 0.500 0.000 0.500
Tl 0.500 0.500 0.000
Br 0.262 0.000 0.747
Br 0.268 0.500 0.263
Br 0.732 0.500 0.737
Br 0.738 0.000 0.253
CELL_PARAMETERS angstrom
8.523 0.000 0.000
0.000 4.947 0.000
-2.873 0.000 8.055
```

Properties
* DOS at the Fermi energy: 0.0 states/eV per cell
* density: 4629 kg/m³
* DFT total energy: -2.964 eV/atom
* ΔE_f (raw): -10.47 eV/f.u.


What is the formula in the second record? Cs2Rb3TlBr6